The following is a PBE calculation of a relaxed RbNi3As crystal, from Alexandria.

Cell lengths 4.609, 4.609, 4.609 Å; angles 90.00, 90.00, 90.00 degrees
Last column: magnetic moment on the atom in μB.
Sites, in units of the cell vectors:
Ni  0.000  0.500  0.000  0.57
Ni  0.000  0.000  0.500  0.32
Ni  0.500  0.000  0.000  0.89
As  0.000  0.000  0.000  0.07
Rb  0.500  0.500  0.500  0.00

Summary:
energy above the most stable polymorph in this dataset = 0.000 eV/atom
total magnetization = 1.89 μB per formula unit
formation energy = 192 kJ/mol of formula units
V = 97.89 Å³ per cell
symmetry = Pm-3m